No. 1
## Ho4Er3In (PBE)

Data for a relaxed structure of Ho4Er3In.

The density of states at the Fermi level is 1.23 states/eV/atom. The formation energy is -109 meV per atom. The value obtained for the magnetization is 0.000 μB per atom.

It has space group Pmn2_1 (No. 31), with a = 11.114 Å, b = 6.962 Å, c = 6.110 Å, α = 90.00°, β = 90.00° and γ = 90.00°. Symmetry generates all atoms from Ho at (0.000, 0.129, 0.000), Ho at (0.000, 0.631, 0.000), Ho at (0.239, 0.626, 0.646), Er at (0.000, 0.373, 0.472), Er at (0.243, 0.117, 0.664) and In at (0.000, 0.878, 0.487).

=====

No. 2
## SrGeAs2Se (PBE)

Data for a relaxed structure of SrGeAs2Se.

The density of states at the Fermi level is 1.19 states/eV/atom. The energy above the lowest structure with this stoichiometry is 0 meV per atom. For the uncorrected formation energy, the calculation gives -0.9 eV per formula unit. The value obtained for the magnetization is 0.000 μB per atom.

It has space group P4/mmm (No. 123), with a = 5.003 Å, b = 5.003 Å, c = 5.259 Å, α = 90.00°, β = 90.00° and γ = 90.00°. Symmetry generates all atoms from Sr at (0.000, 0.000, 0.000), Ge at (0.500, 0.500, 0.500), As at (0.000, 0.500, 0.500) and Se at (0.500, 0.500, 0.000).

=====

No. 3
## WSIN2 (PBE)

Data for a relaxed structure of WSIN2.

The density of states at the Fermi level is 0.45 states/eV/atom. The energy above the lowest structure with this stoichiometry is 0 meV per atom. For the uncorrected formation energy, the calculation gives 3.0 eV per formula unit. The value obtained for the magnetization is 0.154 μB per atom.

It has space group P4/mmm (No. 123), with a = 3.971 Å, b = 3.971 Å, c = 5.308 Å, α = 90.00°, β = 90.00° and γ = 90.00°. Symmetry generates all atoms from W at (0.000, 0.000, 0.000), S at (0.000, 0.000, 0.500), I at (0.500, 0.500, 0.500) and N at (0.000, 0.500, 0.000).

=====

No. 4
## AcPm2Pb (PBE)

Data for a relaxed structure of AcPm2Pb.

The density of states at the Fermi level is 1.69 states/eV/atom. The energy above the lowest structure with this stoichiometry is 164 meV per atom. The formation energy is -119 meV per atom. The value obtained for the magnetization is 0.000 μB per atom.

It has space group Fm-3m (No. 225), with a = 8.069 Å, b = 8.069 Å, c = 8.069 Å, α = 90.00°, β = 90.00° and γ = 90.00°. Symmetry generates all atoms from Ac at (0.000, 0.000, 0.000), Pm at (0.250, 0.250, 0.250) and Pb at (0.000, 0.000, 0.500).

=====

No. 5
## Na2HfTe (PBE)

Data for a relaxed structure of Na2HfTe.

The density of states at the Fermi level is 0.88 states/eV/atom. For the uncorrected formation energy, the calculation gives 1.1 eV per formula unit. The value obtained for the magnetization is 0.266 μB per atom.

It has space group I-42d (No. 122), with a = 9.124 Å, b = 9.124 Å, c = 5.681 Å, α = 90.00°, β = 90.00° and γ = 90.00°. Symmetry generates all atoms from Na at (0.213, 0.250, 0.125), Hf at (0.000, 0.000, 0.500) and Te at (0.000, 0.000, 0.000).

=====

No. 6
## Nb2Ag2Pd (PBE)

Data for a relaxed structure of Nb2Ag2Pd.

The density of states at the Fermi level is 0.58 states/eV/atom. The energy above the lowest structure with this stoichiometry is 59 meV per atom. The formation energy is 531 meV per atom. The value obtained for the magnetization is 0.000 μB per atom.

It has space group I4/mmm (No. 139), with a = 3.727 Å, b = 3.727 Å, c = 13.944 Å, α = 90.00°, β = 90.00° and γ = 90.00°. Symmetry generates all atoms from Nb at (0.000, 0.500, 0.250), Ag at (0.000, 0.000, 0.094) and Pd at (0.000, 0.000, 0.500).

=====

No. 7
## Ti2SbOs2 (PBE)

Data for a relaxed structure of Ti2SbOs2.

The density of states at the Fermi level is 0.63 states/eV/atom. For the uncorrected formation energy, the calculation gives -0.9 eV per formula unit. The value obtained for the magnetization is 0.000 μB per atom.

It has space group P4/mbm (No. 127), with a = 7.446 Å, b = 7.446 Å, c = 3.052 Å, α = 90.00°, β = 90.00° and γ = 90.00°. Symmetry generates all atoms from Ti at (0.153, 0.347, 0.000), Sb at (0.000, 0.000, 0.500) and Os at (0.138, 0.638, 0.500).

=====

No. 8
## CaMg2Zr (PBE)

Data for a relaxed structure of CaMg2Zr.

The density of states at the Fermi level is 1.00 states/eV/atom. The formation energy is 521 meV per atom. The value obtained for the magnetization is 0.458 μB per atom.

It has space group I-42d (No. 122), with a = 8.368 Å, b = 8.368 Å, c = 6.353 Å, α = 90.00°, β = 90.00° and γ = 90.00°. Symmetry generates all atoms from Ca at (0.000, 0.000, 0.000), Mg at (0.237, 0.250, 0.625) and Zr at (0.000, 0.000, 0.500).

=====

No. 9
## MgFeHgSe2 (PBE)

Data for a relaxed structure of MgFeHgSe2.

The density of states at the Fermi level is 1.17 states/eV/atom. For the uncorrected formation energy, the calculation gives 0.5 eV per formula unit. The value obtained for the magnetization is 0.556 μB per atom.

It has space group P4/mmm (No. 123), with a = 4.790 Å, b = 4.790 Å, c = 5.140 Å, α = 90.00°, β = 90.00° and γ = 90.00°. Symmetry generates all atoms from Mg at (0.000, 0.000, 0.000), Fe at (0.500, 0.500, 0.500), Hg at (0.500, 0.500, 0.000) and Se at (0.000, 0.500, 0.500).

=====

No. 10
## Sc2Pt2Pb (PBE)

Data for a relaxed structure of Sc2Pt2Pb.

The density of states at the Fermi level is 0.60 states/eV/atom. The formation energy is -692 meV per atom. The value obtained for the magnetization is 0.000 μB per atom.

It has space group I4/mmm (No. 139), with a = 3.884 Å, b = 3.884 Å, c = 14.779 Å, α = 90.00°, β = 90.00° and γ = 90.00°. Symmetry generates all atoms from Sc at (0.000, 0.000, 0.124), Pt at (0.000, 0.500, 0.250) and Pb at (0.000, 0.000, 0.500).

=====

No. 11
## TiSbPbO6 (PBE)

Data for a relaxed structure of TiSbPbO6.

The density of states at the Fermi level is 0.32 states/eV/atom. For the uncorrected formation energy, the calculation gives -16.2 eV per formula unit. The value obtained for the magnetization is 0.000 μB per atom.

It has space group P-31c (No. 163), with a = 5.3193 Å, b = 5.3193 Å, c = 9.9364 Å, α = 90.00°, β = 90.00° and γ = 120.00°. Symmetry generates all atoms from Ti at (0.3333, 0.6667, 0.2500), Sb at (0.3333, 0.6667, 0.7500), Pb at (0.0000, 0.0000, 0.0000) and O at (0.0035, 0.3735, 0.1417).

=====

No. 12
## Tb2TcWN6 (PBE)

Data for a relaxed structure of Tb2TcWN6.

The density of states at the Fermi level is 0.32 states/eV/atom. For the uncorrected formation energy, the calculation gives -7.4 eV per formula unit. The value obtained for the magnetization is 0.000 μB per atom.

It has space group P2_1/c (No. 14), with a = 5.443 Å, b = 5.650 Å, c = 9.462 Å, α = 90.00°, β = 124.88° and γ = 90.00°. Symmetry generates all atoms from Tb at (0.238, 0.061, 0.250), Tc at (0.000, 0.000, 0.500), W at (0.500, 0.000, 0.000), N at (0.155, 0.204, 0.954), N at (0.252, 0.703, 0.954) and N at (0.335, 0.019, 0.749).

=====

No. 13
## ThSc2Ir (PBE)

Data for a relaxed structure of ThSc2Ir.

The density of states at the Fermi level is 0.89 states/eV/atom. The energy above the lowest structure with this stoichiometry is 75 meV per atom. The formation energy is -492 meV per atom. The value obtained for the magnetization is 0.000 μB per atom.

It has space group P4/mmm (No. 123), with a = 3.296 Å, b = 3.296 Å, c = 8.245 Å, α = 90.00°, β = 90.00° and γ = 90.00°. Symmetry generates all atoms from Th at (0.000, 0.000, 0.000), Sc at (0.500, 0.500, 0.310) and Ir at (0.000, 0.000, 0.500).

=====

No. 14
## TaSiB3 (PBE)

Data for a relaxed structure of TaSiB3.

The density of states at the Fermi level is 0.60 states/eV/atom. The energy above the lowest structure with this stoichiometry is 0 meV per atom. For the uncorrected formation energy, the calculation gives 6.9 eV per formula unit. The value obtained for the magnetization is 0.000 μB per atom.

It has space group Pm-3m (No. 221), with a = 3.848 Å, b = 3.848 Å, c = 3.848 Å, α = 90.00°, β = 90.00° and γ = 90.00°. Symmetry generates all atoms from Ta at (0.000, 0.000, 0.000), Si at (0.500, 0.500, 0.500) and B at (0.000, 0.500, 0.500).

=====

No. 15
## BaSrNdSbO6 (PBE)

Data for a relaxed structure of BaSrNdSbO6.

The density of states at the Fermi level is 0.00 states/eV/atom. The energy above the lowest structure with this stoichiometry is 32 meV per atom. For the uncorrected formation energy, the calculation gives -25.6 eV per formula unit. The value obtained for the magnetization is 0.000 μB per atom.

It has space group F-43m (No. 216), with a = 8.622 Å, b = 8.622 Å, c = 8.622 Å, α = 90.00°, β = 90.00° and γ = 90.00°. Symmetry generates all atoms from Ba at (0.000, 0.000, 0.000), Sr at (0.000, 0.000, 0.500), Nd at (0.250, 0.250, 0.250), Sb at (0.250, 0.250, 0.750) and O at (0.017, 0.250, 0.750).

=====

No. 16
## Pm4Pr7Tl (PBE)

Data for a relaxed structure of Pm4Pr7Tl.

The density of states at the Fermi level is 1.48 states/eV/atom. The formation energy is 126 meV per atom. The value obtained for the magnetization is 0.000 μB per atom.

It has space group C2/m (No. 12), with a = 16.900 Å, b = 6.124 Å, c = 9.493 Å, α = 90.00°, β = 117.55° and γ = 90.00°. Symmetry generates all atoms from Pm at (0.079, 0.000, 0.192), Pm at (0.180, 0.000, 0.901), Pr at (0.000, 0.000, 0.500), Pr at (0.073, 0.500, 0.912), Pr at (0.204, 0.500, 0.712), Pr at (0.214, 0.500, 0.370) and Tl at (0.000, 0.500, 0.500).

=====

No. 17
## TaCd2I2 (PBE)

Data for a relaxed structure of TaCd2I2.

The density of states at the Fermi level is 0.09 states/eV/atom. The energy above the lowest structure with this stoichiometry is 70 meV per atom. For the uncorrected formation energy, the calculation gives 3.0 eV per formula unit. The value obtained for the magnetization is 0.600 μB per atom.

It has space group P4/mbm (No. 127), with a = 7.498 Å, b = 7.498 Å, c = 6.780 Å, α = 90.00°, β = 90.00° and γ = 90.00°. Symmetry generates all atoms from Ta at (0.000, 0.000, 0.000), Cd at (0.150, 0.350, 0.500) and I at (0.171, 0.671, 0.000).

=====

No. 18
## TbMg4Pb7 (PBE)

Data for a relaxed structure of TbMg4Pb7.

The density of states at the Fermi level is 0.49 states/eV/atom. The formation energy is 11 meV per atom. The value obtained for the magnetization is 0.000 μB per atom.

It has space group C2/m (No. 12), with a = 13.680 Å, b = 5.900 Å, c = 10.595 Å, α = 90.00°, β = 123.43° and γ = 90.00°. Symmetry generates all atoms from Tb at (0.000, 0.000, 0.000), Mg at (0.058, 0.500, 0.769), Mg at (0.208, 0.500, 0.321), Pb at (0.000, 0.500, 0.000), Pb at (0.079, 0.000, 0.362), Pb at (0.160, 0.500, 0.586) and Pb at (0.209, 0.000, 0.892).

=====

No. 19
## Li2HgGeBr6 (PBE)

Data for a relaxed structure of Li2HgGeBr6.

For the uncorrected formation energy, the calculation gives -8.7 eV per formula unit. The value obtained for the magnetization is 0.000 μB per atom.

It has space group P1 (No. 1), with a = 6.999 Å, b = 7.004 Å, c = 7.592 Å, α = 90.06°, β = 117.39° and γ = 119.97°. Symmetry generates all atoms from Li at (0.000, 0.000, 0.000), Li at (0.015, 0.507, 0.522), Hg at (0.400, 0.699, 0.098), Ge at (0.385, 0.192, 0.578), Br at (0.172, 0.773, 0.284), Br at (0.183, 0.906, 0.785), Br at (0.508, 0.602, 0.785), Br at (0.510, 0.397, 0.284), Br at (0.879, 0.276, 0.785) and Br at (0.886, 0.112, 0.284).

=====

No. 20
## Ac3Zn2CdAu6 (PBE)

Data for a relaxed structure of Ac3Zn2CdAu6.

The density of states at the Fermi level is 0.64 states/eV/atom. The formation energy is -465 meV per atom. The value obtained for the magnetization is 0.000 μB per atom.

It has space group P-3m1 (No. 164), with a = 6.5168 Å, b = 6.5168 Å, c = 8.5503 Å, α = 90.00°, β = 90.00° and γ = 120.00°. Symmetry generates all atoms from Ac at (0.0000, 0.0000, 0.0000), Ac at (0.3333, 0.6667, 0.6354), Zn at (0.3333, 0.6667, 0.0217), Cd at (0.0000, 0.0000, 0.5000) and Au at (0.1863, 0.3725, 0.2787).